DFT (PBE) results for a geometry-optimized Tl2Hg7 structure.

CIF file:
```
data_Tl2Hg7
_chemical_formula_sum 'Tl2 Hg7'
_cell_length_a 6.6478
_cell_length_b 6.6478
_cell_length_c 6.8142
_cell_angle_alpha 90.00
_cell_angle_beta 90.00
_cell_angle_gamma 120.00
_space_group_name_H-M_alt 'P -3 1 m'
_space_group_IT_number 162
_space_group_name_Hall '-P 3 2'
loop_
_atom_site_label
_atom_site_type_symbol
_atom_site_fract_x
_atom_site_fract_y
_atom_site_fract_z
Tl1 Tl 0.3333 0.6667 0.0000
Hg1 Hg 0.0000 0.0000 0.0000
Hg2 Hg 0.0000 0.3279 0.6588
```

Values from the calculation:
- Formation enthalpy at 0 K: -0.5 kJ/mol of atoms
- E above lowest polymorph: 0.0 meV/atom